# Ni2HgWF

A geometry-optimized Ni2HgWF structure (PBE+U, Alexandria via LeMat-Bulk).

Computed properties:
Its space-group type is P4/mmm. As for the total DFT energy (no corrections): -1.46 eV/atom. Its density of states at the Fermi level is 0.436 states/eV per atom.

```
Ni2HgWF
1.0
4.854 0.000 0.000
0.000 4.854 0.000
0.000 0.000 5.493
Ni Hg W F
2 1 1 1
Cartesian
0.000 2.427 0.000
2.427 0.000 0.000
0.000 0.000 0.000
0.000 0.000 2.747
2.427 2.427 2.747
```